[1]
Here is SrCa8Ac2 after structural relaxation from the Alexandria database. Energies are from PBE.

The structure in CIF format:
```
data_SrCa8Ac2
_symmetry_space_group_name_H-M 'C 1 2/m 1'
_symmetry_Int_Tables_number 12
_cell_length_a 20.7751
_cell_length_b 6.2282
_cell_length_c 7.3353
_cell_angle_alpha 90.00
_cell_angle_beta 90.31
_cell_angle_gamma 90.00
loop_
_symmetry_equiv_pos_as_xyz
'x,y,z'
'-x,-y,-z'
'-x,y,-z'
'x,-y,z'
'x+1/2,y+1/2,z'
'-x+1/2,-y+1/2,-z'
'-x+1/2,y+1/2,-z'
'x+1/2,-y+1/2,z'
loop_
_atom_site_label
_atom_site_type_symbol
_atom_site_fract_x
_atom_site_fract_y
_atom_site_fract_z
_atom_site_occupancy
Sr1 Sr 0.0000 0.0000 0.0000 1
Ca1 Ca 0.0449 0.5000 0.7212 1
Ca2 Ca 0.0939 0.0000 0.4639 1
Ca3 Ca 0.1364 0.5000 0.1735 1
Ca4 Ca 0.1853 0.0000 0.9087 1
Ac1 Ac 0.2249 0.5000 0.6300 1
```

Properties
- E: -25.5 eV/f.u.
- Total magnetic moment: 0.000 μB/f.u.
- E above lowest polymorph: 0.00 kcal/mol of atoms
- Formation energy: 0.036 eV per atom

=====

[2]
Here is Sr5Ca2Ac2 after structural relaxation from the Alexandria database. Energies are from PBE.

The structure in CIF format:
```
data_Sr5Ca2Ac2
_symmetry_space_group_name_H-M 'C m c e'
_symmetry_Int_Tables_number 64
_symmetry_space_group_name_Hall '-C 2ac 2'
_cell_length_a 24.0992
_cell_length_b 8.7110
_cell_length_c 8.7017
_cell_angle_alpha 90.00
_cell_angle_beta 90.00
_cell_angle_gamma 90.00
loop_
_atom_site_label
_atom_site_type_symbol
_atom_site_fract_x
_atom_site_fract_y
_atom_site_fract_z
_atom_site_occupancy
Sr1 Sr 0.0000 0.0000 0.0000 1
Sr2 Sr 0.1285 0.1881 0.3118 1
Ca1 Ca 0.0000 0.1317 0.6316 1
Ac1 Ac 0.2384 0.0000 0.0000 1
```

Properties
- E: -18.4 eV/f.u.
- Total magnetic moment: 0.007 μB/f.u.
- Formation energy: 0.253 eV per atom

=====

[3]
Here is SrCa6Ac12 after structural relaxation from the Alexandria database. Energies are from PBE.

The structure in CIF format:
```
data_SrCa6Ac12
_symmetry_space_group_name_H-M 'R -3 m'
_symmetry_Int_Tables_number 166
_symmetry_space_group_name_Hall '-R 3 2"'
_cell_length_a 14.9893
_cell_length_b 14.9893
_cell_length_c 13.5006
_cell_angle_alpha 90.00
_cell_angle_beta 90.00
_cell_angle_gamma 120.00
loop_
_atom_site_label
_atom_site_type_symbol
_atom_site_fract_x
_atom_site_fract_y
_atom_site_fract_z
_atom_site_occupancy
Sr1 Sr 0.0000 0.0000 0.0000 1
Ca1 Ca 0.0858 0.1715 0.7524 1
Ac1 Ac 0.0000 0.2663 0.0000 1
Ac2 Ac 0.0500 0.5250 0.1222 1
```

Properties
- E: -60.4 eV/f.u.
- Total magnetic moment: 0.000 μB/f.u.
- Formation energy: 0.135 eV per atom

=====

[4]
Here is Sr9Ca4Ac after structural relaxation from the Alexandria database. Energies are from PBE.

The structure in CIF format:
```
data_Sr9Ca4Ac
_symmetry_space_group_name_H-M 'P 63/m m c'
_symmetry_Int_Tables_number 194
_symmetry_space_group_name_Hall '-P 6c 2c'
_cell_length_a 11.6558
_cell_length_b 11.6558
_cell_length_c 12.4584
_cell_angle_alpha 90.00
_cell_angle_beta 90.00
_cell_angle_gamma 120.00
loop_
_atom_site_label
_atom_site_type_symbol
_atom_site_fract_x
_atom_site_fract_y
_atom_site_fract_z
_atom_site_occupancy
Sr1 Sr 0.0707 0.5353 0.2500 1
Sr2 Sr 0.2005 0.4010 0.5410 1
Ca1 Ca 0.0000 0.0000 0.0000 1
Ca2 Ca 0.1078 0.2156 0.2500 1
Ac1 Ac 0.3333 0.6667 0.7500 1
```

Properties
- E: -26.0 eV/f.u.
- Total magnetic moment: 2.151 μB/f.u.
- Formation energy: 0.092 eV per atom

=====

[5]
Here is SrCa3Ac3 after structural relaxation from the Alexandria database. Energies are from PBE.

The structure in CIF format:
```
data_SrCa3Ac3
_symmetry_space_group_name_H-M 'P 63/m'
_symmetry_Int_Tables_number 176
_symmetry_space_group_name_Hall '-P 6c'
_cell_length_a 10.6101
_cell_length_b 10.6101
_cell_length_c 6.4600
_cell_angle_alpha 90.00
_cell_angle_beta 90.00
_cell_angle_gamma 120.00
loop_
_atom_site_label
_atom_site_type_symbol
_atom_site_fract_x
_atom_site_fract_y
_atom_site_fract_z
_atom_site_occupancy
Sr1 Sr 0.3333 0.6667 0.2500 1
Ca1 Ca 0.0942 0.6231 0.7500 1
Ac1 Ac 0.0428 0.8076 0.2500 1
```

Properties
- E: -19.7 eV/f.u.
- Total magnetic moment: 0.000 μB/f.u.
- Formation energy: 0.044 eV per atom

=====

[6]
Here is Sr7Ca4Ac after structural relaxation from the Alexandria database. Energies are from PBE.

The structure in CIF format:
```
data_Sr7Ca4Ac
_symmetry_space_group_name_H-M 'P -3 m 1'
_symmetry_Int_Tables_number 164
_symmetry_space_group_name_Hall '-P 3 2"'
_cell_length_a 4.1038
_cell_length_b 4.1038
_cell_length_c 40.4453
_cell_angle_alpha 90.00
_cell_angle_beta 90.00
_cell_angle_gamma 120.00
loop_
_atom_site_label
_atom_site_type_symbol
_atom_site_fract_x
_atom_site_fract_y
_atom_site_fract_z
_atom_site_occupancy
Sr1 Sr 0.0000 0.0000 0.0000 1
Sr2 Sr 0.0000 0.0000 0.2515 1
Sr3 Sr 0.3333 0.6667 0.1641 1
Sr4 Sr 0.3333 0.6667 0.4162 1
Ca1 Ca 0.3333 0.6667 0.6664 1
Ca2 Ca 0.3333 0.6667 0.9179 1
Ac1 Ac 0.0000 0.0000 0.5000 1
```

Properties
- E: -23.5 eV/f.u.
- Total magnetic moment: 0.000 μB/f.u.
- E above lowest polymorph: 0.00 kcal/mol of atoms
- Formation energy: 0.032 eV per atom

=====

[7]
Here is SrCa2Ac after structural relaxation from the Alexandria database. Energies are from PBE.

The structure in CIF format:
```
data_SrCa2Ac
_symmetry_space_group_name_H-M 'P 4/m m m'
_symmetry_Int_Tables_number 123
_symmetry_space_group_name_Hall '-P 4 2'
_cell_length_a 4.4285
_cell_length_b 4.4285
_cell_length_c 9.1979
_cell_angle_alpha 90.00
_cell_angle_beta 90.00
_cell_angle_gamma 90.00
loop_
_atom_site_label
_atom_site_type_symbol
_atom_site_fract_x
_atom_site_fract_y
_atom_site_fract_z
_atom_site_occupancy
Sr1 Sr 0.0000 0.0000 0.0000 1
Ca1 Ca 0.5000 0.5000 0.2566 1
Ac1 Ac 0.0000 0.0000 0.5000 1
```

Properties
- E: -9.6 eV/f.u.
- Total magnetic moment: 0.000 μB/f.u.
- E above lowest polymorph: 0.13 kcal/mol of atoms
- Formation energy: 0.039 eV per atom

=====

[8]
Here is SrCa6Ac8 after structural relaxation from the Alexandria database. Energies are from PBE.

The structure in CIF format:
```
data_SrCa6Ac8
_symmetry_space_group_name_H-M 'P -3'
_symmetry_Int_Tables_number 147
_cell_length_a 11.2593
_cell_length_b 11.2593
_cell_length_c 6.4394
_cell_angle_alpha 90.00
_cell_angle_beta 90.00
_cell_angle_gamma 120.00
loop_
_symmetry_equiv_pos_as_xyz
'x,y,z'
'-x,-y,-z'
'-y,x-y,z'
'y,-x+y,-z'
'-x+y,-x,z'
'x-y,x,-z'
loop_
_atom_site_label
_atom_site_type_symbol
_atom_site_fract_x
_atom_site_fract_y
_atom_site_fract_z
_atom_site_occupancy
Sr1 Sr 0.0000 0.0000 0.0000 1
Ca1 Ca 0.1596 0.7094 0.0008 1
Ac1 Ac 0.0230 0.3371 0.4995 1
Ac2 Ac 0.3333 0.6667 0.5013 1
```

Properties
- E: -43.8 eV/f.u.
- Total magnetic moment: 0.000 μB/f.u.
- Formation energy: 0.186 eV per atom